# PBE-GGA AcPr2HoAs4, optimized geometry
data_AcPr2HoAs4
_cell_length_a 7.486
_cell_length_b 4.327
_cell_length_c 7.488
_cell_angle_alpha 90.00
_cell_angle_beta 109.38
_cell_angle_gamma 90.00
_symmetry_space_group_name_H-M 'P 1 2/m 1'
_symmetry_Int_Tables_number 10
loop_
_symmetry_equiv_pos_as_xyz
'x,y,z'
'-x,-y,-z'
'-x,y,-z'
'x,-y,z'
loop_
_atom_site_label
_atom_site_fract_x
_atom_site_fract_y
_atom_site_fract_z
Ac1 0.000 0.000 0.000
Pr1 0.000 0.500 0.500
Pr2 0.500 0.000 0.500
Ho1 0.500 0.500 0.000
As1 0.262 0.000 0.754
As2 0.262 0.500 0.254
# Crystal system: monoclinic
# DOS at the Fermi energy (states/eV per atom): 0.09

---

# PBE-GGA Ac2PrHoAs4, optimized geometry
data_Ac2PrHoAs4
_cell_length_a 7.581
_cell_length_b 4.381
_cell_length_c 7.591
_cell_angle_alpha 90.00
_cell_angle_beta 109.43
_cell_angle_gamma 90.00
_symmetry_space_group_name_H-M 'P 1 2/m 1'
_symmetry_Int_Tables_number 10
loop_
_symmetry_equiv_pos_as_xyz
'x,y,z'
'-x,-y,-z'
'-x,y,-z'
'x,-y,z'
loop_
_atom_site_label
_atom_site_fract_x
_atom_site_fract_y
_atom_site_fract_z
Ac1 0.000 0.000 0.000
Ac2 0.500 0.500 0.000
Pr1 0.000 0.500 0.500
Ho1 0.500 0.000 0.500
As1 0.250 0.000 0.734
As2 0.262 0.500 0.270
# Crystal system: monoclinic
# DOS at the Fermi energy (states/eV per atom): 0.08

---

# PBE-GGA Ac2HoAs4Pt3, optimized geometry
data_Ac2HoAs4Pt3
_cell_length_a 4.548
_cell_length_b 4.548
_cell_length_c 10.858
_cell_angle_alpha 90.00
_cell_angle_beta 90.00
_cell_angle_gamma 90.00
_symmetry_space_group_name_H-M 'P -4 m 2'
_symmetry_Int_Tables_number 115
loop_
_symmetry_equiv_pos_as_xyz
'x,y,z'
'y,-x,-z'
'-x,-y,z'
'-y,x,-z'
'-x,y,z'
'-y,-x,-z'
'x,-y,z'
'y,x,-z'
loop_
_atom_site_label
_atom_site_fract_x
_atom_site_fract_y
_atom_site_fract_z
Ac1 0.000 0.500 0.225
Ho1 0.000 0.000 0.500
As1 0.000 0.000 0.000
As2 0.000 0.500 0.651
As3 0.500 0.500 0.000
Pt1 0.000 0.500 0.889
Pt2 0.500 0.500 0.500
# Crystal system: tetragonal
# DOS at the Fermi energy (states/eV per atom): 0.33

---

# PBE-GGA AcHoAsPt, optimized geometry
data_AcHoAsPt
_cell_length_a 7.385
_cell_length_b 7.385
_cell_length_c 7.385
_cell_angle_alpha 90.00
_cell_angle_beta 90.00
_cell_angle_gamma 90.00
_symmetry_space_group_name_H-M 'F -4 3 m'
_symmetry_Int_Tables_number 216
_symmetry_space_group_name_Hall 'F -4 2 3'
loop_
_atom_site_label
_atom_site_fract_x
_atom_site_fract_y
_atom_site_fract_z
Ac1 0.000 0.000 0.000
Ho1 0.000 0.000 0.500
As1 0.250 0.250 0.750
Pt1 0.250 0.250 0.250
# Crystal system: cubic
# DOS at the Fermi energy (states/eV per atom): 0.75

---

# PBE-GGA Ac2HoAs3Pt4, optimized geometry
data_Ac2HoAs3Pt4
_cell_length_a 4.425
_cell_length_b 4.425
_cell_length_c 11.316
_cell_angle_alpha 90.00
_cell_angle_beta 90.00
_cell_angle_gamma 90.00
_symmetry_space_group_name_H-M 'P -4 m 2'
_symmetry_Int_Tables_number 115
loop_
_symmetry_equiv_pos_as_xyz
'x,y,z'
'y,-x,-z'
'-x,-y,z'
'-y,x,-z'
'-x,y,z'
'-y,-x,-z'
'x,-y,z'
'y,x,-z'
loop_
_atom_site_label
_atom_site_fract_x
_atom_site_fract_y
_atom_site_fract_z
Ac1 0.000 0.500 0.223
Ho1 0.000 0.000 0.500
As1 0.000 0.500 0.877
As2 0.500 0.500 0.500
Pt1 0.000 0.000 0.000
Pt2 0.000 0.500 0.653
Pt3 0.500 0.500 0.000
# Crystal system: tetragonal
# DOS at the Fermi energy (states/eV per atom): 0.37

---

# PBE-GGA AcHo2PuAs4, optimized geometry
data_AcHo2PuAs4
_cell_length_a 7.324
_cell_length_b 4.234
_cell_length_c 7.324
_cell_angle_alpha 90.00
_cell_angle_beta 109.44
_cell_angle_gamma 90.00
_symmetry_space_group_name_H-M 'P 1 2/m 1'
_symmetry_Int_Tables_number 10
loop_
_symmetry_equiv_pos_as_xyz
'x,y,z'
'-x,-y,-z'
'-x,y,-z'
'x,-y,z'
loop_
_atom_site_label
_atom_site_fract_x
_atom_site_fract_y
_atom_site_fract_z
Ac1 0.000 0.000 0.000
Ho1 0.000 0.500 0.500
Ho2 0.500 0.000 0.500
Pu1 0.500 0.500 0.000
As1 0.258 0.000 0.741
As2 0.267 0.500 0.267
# Crystal system: monoclinic
# DOS at the Fermi energy (states/eV per atom): 1.84

---

# PBE-GGA Ac2HoAs4Rh3, optimized geometry
data_Ac2HoAs4Rh3
_cell_length_a 4.428
_cell_length_b 4.428
_cell_length_c 10.993
_cell_angle_alpha 90.00
_cell_angle_beta 90.00
_cell_angle_gamma 90.00
_symmetry_space_group_name_H-M 'P -4 m 2'
_symmetry_Int_Tables_number 115
loop_
_symmetry_equiv_pos_as_xyz
'x,y,z'
'y,-x,-z'
'-x,-y,z'
'-y,x,-z'
'-x,y,z'
'-y,-x,-z'
'x,-y,z'
'y,x,-z'
loop_
_atom_site_label
_atom_site_fract_x
_atom_site_fract_y
_atom_site_fract_z
Ac1 0.000 0.500 0.225
Ho1 0.000 0.000 0.500
As1 0.000 0.000 0.000
As2 0.000 0.500 0.658
As3 0.500 0.500 0.000
Rh1 0.000 0.500 0.893
Rh2 0.500 0.500 0.500
# Crystal system: tetragonal
# DOS at the Fermi energy (states/eV per atom): 0.43

---

# PBE-GGA Ac2HoAs3Rh12, optimized geometry
data_Ac2HoAs3Rh12
_cell_length_a 9.2671
_cell_length_b 9.2671
_cell_length_c 13.0953
_cell_angle_alpha 90.00
_cell_angle_beta 90.00
_cell_angle_gamma 120.00
_symmetry_space_group_name_H-M 'R -3 m'
_symmetry_Int_Tables_number 166
_symmetry_space_group_name_Hall '-R 3 2"'
loop_
_atom_site_label
_atom_site_fract_x
_atom_site_fract_y
_atom_site_fract_z
Ac1 0.0000 0.0000 0.1435
Ho1 0.0000 0.0000 0.5000
As1 0.0000 0.5000 0.0000
Rh1 0.9995 0.4998 0.1828
Rh2 0.0157 0.5079 0.3834
# Crystal system: trigonal
# DOS at the Fermi energy (states/eV per atom): 1.09

---

Number 1: formation energy -11.68 eV per formula unit, DFT total energy -6.066 eV per atom. Number 2: formation energy -11.72 eV per formula unit, DFT total energy -5.986 eV per atom. Number 3: formation energy -10.27 eV per formula unit, DFT total energy -5.978 eV per atom. Number 4: formation energy -3.82 eV per formula unit, DFT total energy -5.799 eV per atom. Number 5: formation energy -9.84 eV per formula unit, DFT total energy -6.075 eV per atom. Number 6: formation energy -10.65 eV per formula unit, DFT total energy -7.106 eV per atom. Number 7: formation energy -10.03 eV per formula unit, DFT total energy -6.348 eV per atom. Number 8: formation energy -4.37 eV per formula unit, DFT total energy -6.629 eV per atom.